The following is a DFT calculation (GGA-PBE) of a geometry-optimized CuTcPt2 structure.

Computed properties:
- Symmetry: No. 8
- Total DFT energy (no corrections): -26.949 eV per cell
- Calculated volume: 14.5 Å³/atom
- Formation energy from the elements: -0.101 eV/atom
- Polymorph energy (0 for the lowest one): 0.087 eV/atom

Cell: 4.712 4.712 4.793 Å, 81.60 81.60 33.59°
Fractional coordinates of all 4 atoms:
Cu 0.249 0.249 0.240
Pt 0.999 0.999 0.022
Pt 0.753 0.753 0.725
Tc 0.499 0.499 0.513